VASP calculation (GGA+U) on a relaxed structure of K2VF7.

Structure (POSCAR):
```
K2VF7
1.0
-2.321 -0.137 6.100
-0.079 -6.664 3.314
5.514 1.667 5.629
K V F
4 2 14
direct
0.559 0.931 0.739
0.771 0.431 0.239
0.229 0.569 0.761
0.441 0.069 0.261
0.937 0.250 0.750
0.063 0.750 0.250
0.792 0.523 0.786
0.900 0.023 0.286
0.259 0.776 0.007
0.262 0.244 0.595
0.643 0.250 0.750
0.958 0.276 0.507
0.102 0.256 0.905
0.898 0.744 0.095
0.042 0.724 0.493
0.357 0.750 0.250
0.738 0.756 0.405
0.741 0.224 0.993
0.100 0.977 0.714
0.208 0.477 0.214
```

Results
Crystal system: monoclinic
D(E_F) in states/eV/f.u.: 0.00
Calculated volume in Å³/atom: 16.033
M_tot in μB per cell: 0.000
Raw total energy in eV per cell: -98.2